## CsIBr3 (GGA-PBE)

Data for a relaxed CsIBr3 crystal.

The structure in POSCAR format:
```
CsIBr3
1.0
5.968 0.000 0.000
0.000 5.968 0.000
0.000 0.000 5.968
Cs I Br
1 1 3
direct
0.000 0.000 0.000
0.500 0.500 0.500
0.000 0.500 0.500
0.500 0.000 0.500
0.500 0.500 0.000
```

Computed properties:
density of states at the Fermi level = 1.3 states/eV/f.u.
calculated total energy = -2.185 eV per atom
offset from the most stable computed form = 63.9 meV per atom
uncorrected formation energy = -0.700 eV per atom